(1)
Tb4Tl2Pt | GGA-PBE | optimized geometry

a = 6.655 Å, b = 3.752 Å, c = 9.033 Å
α = 90.00°, β = 110.77°, γ = 90.00°
Space group P2/m (No. 10)
Unique sites:
1 Tb 0.113 0.000 0.251 [2 per cell]
2 Tb 0.320 0.500 0.649 [2 per cell]
3 Tl 0.266 0.500 0.001 [2 per cell]
4 Pt 0.500 0.000 0.500 [1 per cell]

Summary:
Volume in Å³/atom: 30.13
E_tot in eV/atom: -4.6088

---

(2)
Tb2TlPt | GGA-PBE | optimized geometry

a = 7.314 Å, b = 7.314 Å, c = 7.314 Å
α = 90.00°, β = 90.00°, γ = 90.00°
Space group Fm-3m (No. 225)
Unique sites:
1 Tb 0.250 0.250 0.250 [8 per cell]
2 Tl 0.000 0.000 0.000 [4 per cell]
3 Pt 0.000 0.000 0.500 [4 per cell]

Summary:
Polymorph energy (0 for the lowest one) in eV/atom: 0.101
Volume in Å³/atom: 24.45
E_tot in eV/atom: -5.1026

---

(3)
Tb5Tl2Pt | GGA-PBE | optimized geometry

a = 7.468 Å, b = 12.538 Å, c = 4.781 Å
α = 90.00°, β = 90.00°, γ = 90.00°
Space group Pbam (No. 55)
Unique sites:
1 Tb 0.000 0.000 0.000 [2 per cell]
2 Tb 0.137 0.290 0.000 [4 per cell]
3 Tb 0.180 0.577 0.500 [4 per cell]
4 Tl 0.086 0.834 0.500 [4 per cell]
5 Pt 0.000 0.500 0.000 [2 per cell]

Summary:
Polymorph energy (0 for the lowest one) in eV/atom: 0.000
Volume in Å³/atom: 27.98
E_tot in eV/atom: -4.7758